! LiBeIO2 (PBE, optimized geometry); values from VASP
&SYSTEM
  ibrav = 0, nat = 5, ntyp = 4
/
ATOMIC_SPECIES
Li 6.94 Li.upf
Be 9.01 Be.upf
I 126.90 I.upf
O 16.00 O.upf
CELL_PARAMETERS angstrom
3.6392 0.0000 0.0000
0.0000 3.6392 0.0000
0.0000 0.0000 5.5951
ATOMIC_POSITIONS crystal
Li 0.0000 0.0000 0.0000
Be 0.5000 0.5000 0.5000
I 0.0000 0.0000 0.5000
O 0.0000 0.5000 0.0000
O 0.5000 0.0000 0.0000
! ΔE_f (raw), eV per atom: 0.334
! Space group: P4/mmm
! Total energy, eV/atom: -3.0877
! Distance to the lowest polymorph of the same formula, meV per atom: 976.0